First-principles (PBE-GGA) data for a relaxed La8Er6Tm crystal, as listed in the Alexandria database.

The structure in CIF format:
```
data_La8Er6Tm
_symmetry_space_group_name_H-M 'P -3'
_symmetry_Int_Tables_number 147
_symmetry_space_group_name_Hall '-P 3'
_cell_length_a 9.4086
_cell_length_b 9.4086
_cell_length_c 6.6693
_cell_angle_alpha 90.00
_cell_angle_beta 90.00
_cell_angle_gamma 120.00
loop_
_atom_site_label
_atom_site_fract_x
_atom_site_fract_y
_atom_site_fract_z
_atom_site_occupancy
La1 0.0449 0.7522 0.1686 1
La2 0.3333 0.6667 0.1203 1
Er1 0.0988 0.6618 0.6505 1
Tm1 0.0000 0.0000 0.5000 1
```

Electronic total energy = -4.588 eV per atom
DFT formation energy = 0.16 eV per atom

=====

First-principles (PBE-GGA) data for a relaxed Cu2MoAu crystal, as listed in the Alexandria database.

The structure in CIF format:
```
data_Cu2MoAu
_symmetry_space_group_name_H-M 'F -4 3 m'
_symmetry_Int_Tables_number 216
_symmetry_space_group_name_Hall 'F -4 2 3'
_cell_length_a 6.186
_cell_length_b 6.186
_cell_length_c 6.186
_cell_angle_alpha 90.00
_cell_angle_beta 90.00
_cell_angle_gamma 90.00
loop_
_atom_site_label
_atom_site_fract_x
_atom_site_fract_y
_atom_site_fract_z
_atom_site_occupancy
Cu1 0.000 0.000 0.000 1
Cu2 0.250 0.250 0.250 1
Mo1 0.000 0.000 0.500 1
Au1 0.250 0.250 0.750 1
```

Electronic total energy = -5.185 eV per atom
Excess energy over the best structure of this formula in the dataset = 1.01 eV per formula unit
DFT formation energy = 0.39 eV per atom

=====

First-principles (PBE-GGA) data for a relaxed LaPm3Er2S6 crystal, as listed in the Alexandria database.

The structure in CIF format:
```
data_LaPm3Er2S6
_symmetry_space_group_name_H-M 'C 1 2/m 1'
_symmetry_Int_Tables_number 12
_symmetry_space_group_name_Hall '-C 2y'
_cell_length_a 6.915
_cell_length_b 12.009
_cell_length_c 6.933
_cell_angle_alpha 90.00
_cell_angle_beta 109.55
_cell_angle_gamma 90.00
loop_
_atom_site_label
_atom_site_fract_x
_atom_site_fract_y
_atom_site_fract_z
_atom_site_occupancy
La1 0.000 0.000 0.000 1
Pm1 0.000 0.161 0.500 1
Pm2 0.000 0.500 0.500 1
Er1 0.000 0.333 0.000 1
S1 0.232 0.500 0.238 1
S2 0.245 0.326 0.757 1
```

Electronic total energy = -6.450 eV per atom
Formation energy without anion corrections = -2.03 eV per atom

=====

First-principles (PBE-GGA) data for a relaxed Ba4Tl3Pb crystal, as listed in the Alexandria database.

The structure in CIF format:
```
data_Ba4Tl3Pb
_symmetry_space_group_name_H-M 'C 1 2/m 1'
_symmetry_Int_Tables_number 12
_symmetry_space_group_name_Hall '-C 2y'
_cell_length_a 18.387
_cell_length_b 6.079
_cell_length_c 6.080
_cell_angle_alpha 90.00
_cell_angle_beta 109.19
_cell_angle_gamma 90.00
loop_
_atom_site_label
_atom_site_fract_x
_atom_site_fract_y
_atom_site_fract_z
_atom_site_occupancy
Ba1 0.125 0.000 0.125 1
Ba2 0.125 0.500 0.625 1
Tl1 0.000 0.000 0.500 1
Tl2 0.249 0.000 0.748 1
Pb1 0.000 0.500 0.000 1
```

Electronic total energy = -2.744 eV per atom
DFT formation energy = -0.43 eV per atom

=====

First-principles (PBE-GGA) data for a relaxed CsCrGaS4 crystal, as listed in the Alexandria database.

The structure in CIF format:
```
data_CsCrGaS4
_symmetry_space_group_name_H-M 'P 1 21/m 1'
_symmetry_Int_Tables_number 11
_symmetry_space_group_name_Hall '-P 2yb'
_cell_length_a 6.357
_cell_length_b 6.566
_cell_length_c 8.610
_cell_angle_alpha 90.00
_cell_angle_beta 93.25
_cell_angle_gamma 90.00
loop_
_atom_site_label
_atom_site_fract_x
_atom_site_fract_y
_atom_site_fract_z
_atom_site_occupancy
Cs1 0.227 0.250 0.063 1
Cr1 0.160 0.750 0.464 1
Ga1 0.358 0.250 0.633 1
S1 0.090 0.008 0.659 1
S2 0.335 0.750 0.220 1
S3 0.485 0.750 0.594 1
```

Electronic total energy = -4.978 eV per atom
Formation energy without anion corrections = -0.69 eV per atom

=====

First-principles (PBE-GGA) data for a relaxed LaCo2Hg crystal, as listed in the Alexandria database.

The structure in CIF format:
```
data_LaCo2Hg
_symmetry_space_group_name_H-M 'R -3 m'
_symmetry_Int_Tables_number 166
_symmetry_space_group_name_Hall '-R 3 2"'
_cell_length_a 4.5361
_cell_length_b 4.5361
_cell_length_c 13.8583
_cell_angle_alpha 90.00
_cell_angle_beta 90.00
_cell_angle_gamma 120.00
loop_
_atom_site_label
_atom_site_fract_x
_atom_site_fract_y
_atom_site_fract_z
_atom_site_occupancy
La1 0.0000 0.0000 0.0000 1
Co1 0.0000 0.0000 0.1763 1
Hg1 0.0000 0.0000 0.5000 1
```

Electronic total energy = -4.884 eV per atom
DFT formation energy = -0.02 eV per atom

=====

First-principles (PBE-GGA) data for a relaxed BiPdOF2 crystal, as listed in the Alexandria database.

The structure in CIF format:
```
data_BiPdOF2
_symmetry_space_group_name_H-M 'P 4/m m m'
_symmetry_Int_Tables_number 123
_symmetry_space_group_name_Hall '-P 4 2'
_cell_length_a 4.274
_cell_length_b 4.274
_cell_length_c 4.136
_cell_angle_alpha 90.00
_cell_angle_beta 90.00
_cell_angle_gamma 90.00
loop_
_atom_site_label
_atom_site_fract_x
_atom_site_fract_y
_atom_site_fract_z
_atom_site_occupancy
Bi1 0.000 0.000 0.000 1
Pd1 0.500 0.500 0.500 1
O1 0.500 0.500 0.000 1
F1 0.000 0.500 0.500 1
```

Electronic total energy = -4.297 eV per atom
Formation energy without anion corrections = -0.74 eV per atom
Excess energy over the best structure of this formula in the dataset = 0.95 eV per formula unit

=====

First-principles (PBE-GGA) data for a relaxed Y2HoRh2 crystal, as listed in the Alexandria database.

The structure in CIF format:
```
data_Y2HoRh2
_symmetry_space_group_name_H-M 'C m c m'
_symmetry_Int_Tables_number 63
_symmetry_space_group_name_Hall '-C 2c 2'
_cell_length_a 6.018
_cell_length_b 14.224
_cell_length_c 5.628
_cell_angle_alpha 90.00
_cell_angle_beta 90.00
_cell_angle_gamma 90.00
loop_
_atom_site_label
_atom_site_fract_x
_atom_site_fract_y
_atom_site_fract_z
_atom_site_occupancy
Y1 0.000 0.082 0.250 1
Y2 0.000 0.278 0.750 1
Ho1 0.000 0.500 0.000 1
Rh1 0.243 0.123 0.750 1
```

Electronic total energy = -6.881 eV per atom
Excess energy over the best structure of this formula in the dataset = 1.33 eV per formula unit
DFT formation energy = -0.44 eV per atom

=====

First-principles (PBE-GGA) data for a relaxed Sn2SbRuBr crystal, as listed in the Alexandria database.

The structure in CIF format:
```
data_Sn2SbRuBr
_symmetry_space_group_name_H-M 'P 4/m m m'
_symmetry_Int_Tables_number 123
_symmetry_space_group_name_Hall '-P 4 2'
_cell_length_a 5.225
_cell_length_b 5.225
_cell_length_c 5.120
_cell_angle_alpha 90.00
_cell_angle_beta 90.00
_cell_angle_gamma 90.00
loop_
_atom_site_label
_atom_site_fract_x
_atom_site_fract_y
_atom_site_fract_z
_atom_site_occupancy
Sn1 0.000 0.500 0.000 1
Sb1 0.000 0.000 0.500 1
Ru1 0.000 0.000 0.000 1
Br1 0.500 0.500 0.500 1
```

Electronic total energy = -4.626 eV per atom
Formation energy without anion corrections = -0.01 eV per atom

=====

First-principles (PBE-GGA) data for a relaxed CaRh2Pb crystal, as listed in the Alexandria database.

The structure in CIF format:
```
data_CaRh2Pb
_symmetry_space_group_name_H-M 'C 1 m 1'
_symmetry_Int_Tables_number 8
_symmetry_space_group_name_Hall 'C -2y'
_cell_length_a 10.324
_cell_length_b 3.261
_cell_length_c 4.769
_cell_angle_alpha 90.00
_cell_angle_beta 106.52
_cell_angle_gamma 90.00
loop_
_atom_site_label
_atom_site_fract_x
_atom_site_fract_y
_atom_site_fract_z
_atom_site_occupancy
Ca1 0.000 0.000 0.000 1
Rh1 0.015 0.500 0.500 1
Rh2 0.248 0.000 0.854 1
Pb1 0.277 0.500 0.371 1
```

Electronic total energy = -5.297 eV per atom
DFT formation energy = -0.19 eV per atom